First-principles (PBE-GGA) data for a relaxed structure of Dy2Al3Ga3, as listed in the Alexandria database.

Cell lengths 4.2130, 4.2729, 8.5989 Å; angles 90.00, 90.00, 90.00 degrees
Last column: nearest neighbours and their distance in Å.
Space group Pmmm (No. 47)
Unique sites:
Dy1 0.0000 0.0000 0.2474  6 Ga 2.99-3.00, 6 Al 3.02-3.05
Al1 0.0000 0.5000 0.0000  8 Ga 3.00-3.06, 4 Dy 3.02
Al2 0.0000 0.5000 0.5000  4 Ga 2.96, 4 Al 3.00, 4 Dy 3.05
Al3 0.5000 0.0000 0.5000  4 Ga 2.98, 4 Al 3.00, 4 Dy 3.03
Ga1 0.5000 0.0000 0.0000  4 Dy 2.99, 4 Al 3.00, 4 Ga 3.08
Ga2 0.5000 0.5000 0.2576  6 Al 2.96-3.06, 4 Dy 3.00, 2 Ga 3.08

Its calculated formation energy is -10.96 kcal/mol of atoms. For the uncorrected energy, the calculation gives -4.164 eV per atom. The calculation puts the magnetic moment at 0.00 μB per atom.